This record from Alexandria via LeMat-Bulk describes TaAlW2 at its PBEsol-relaxed geometry. The functional is meta-GGA SCAN.

a = 4.610 Å, b = 4.610 Å, c = 4.610 Å
α = 124.63°, β = 124.63°, γ = 82.15°
Element x y z (fractional)
Ta  0.000  0.000  0.000
Al  0.250  0.750  0.500
W  0.500  0.500  0.000
W  0.750  0.250  0.500

energy of formation from the pure elements: 53 meV per atom
uncorrected energy: -213.50 eV per formula unit
density: 14.99 g cm⁻³
volume: 15.95 Å³/atom